Entry 1:
The following is a PBE calculation of a relaxed structure of PaH2Pb, from Alexandria via LeMat-Bulk.

Summary:
Crystal system: trigonal
Final energy (eV/atom): -5.207

Unit cell a=3.7223 b=3.7223 c=15.9802 alpha=90.00 beta=90.00 gamma=120.00
Space group R-3m (No. 166, hexagonal axes)
Inequivalent atoms, fractional coordinates:
Pa 0.0000 0.0000 0.0000
H 0.0000 0.0000 0.3045
Pb 0.0000 0.0000 0.5000


Entry 2:
The following is a PBE calculation of a relaxed structure of K2NpBr2O4, from Alexandria via LeMat-Bulk.

Summary:
Crystal system: tetragonal
Formation energy from raw total energies (eV/atom): -1.85

Unit cell a=6.7949 b=6.7949 c=9.7198 alpha=90.00 beta=90.00 gamma=90.00
Space group I4/mmm (No. 139)
Inequivalent atoms, fractional coordinates:
K 0.0000 0.5000 0.2500
Np 0.0000 0.0000 0.0000
Br 0.0000 0.0000 0.2957
O 0.1935 0.1935 0.0000


Entry 3:
The following is a PBE calculation of a relaxed structure of CsMoPRu2, from Alexandria via LeMat-Bulk.

Summary:
Crystal system: tetragonal
ΔH_f (0 K) (meV per atom): 1917

Unit cell a=4.7083 b=4.7083 c=5.7181 alpha=90.00 beta=90.00 gamma=90.00
Space group P4/mmm (No. 123)
Inequivalent atoms, fractional coordinates:
Cs 0.0000 0.0000 0.0000
Mo 0.0000 0.0000 0.5000
P 0.5000 0.5000 0.0000
Ru 0.0000 0.5000 0.5000


Entry 4:
The following is a PBE calculation of a relaxed structure of Cs2La2PaS6, from Alexandria via LeMat-Bulk.

Summary:
Crystal system: monoclinic
Formation energy from raw total energies (eV/atom): -1.84

Unit cell a=7.3698 b=12.6600 c=8.5888 alpha=90.00 beta=106.76 gamma=90.00
Space group C2/m (No. 12)
Inequivalent atoms, fractional coordinates:
Cs 0.0000 0.1694 0.0000
La 0.0000 0.3342 0.5000
Pa 0.0000 0.0000 0.5000
S 0.2174 0.1595 0.6783
S 0.2475 0.5000 0.6790


Entry 5:
The following is a PBE calculation of a relaxed structure of Nd2TmSn3Rh4, from Alexandria via LeMat-Bulk.

Summary:
Crystal system: tetragonal
ΔH_f (0 K) (meV per atom): -762

Unit cell a=4.4069 b=4.4069 c=11.4204 alpha=90.00 beta=90.00 gamma=90.00
Space group P-4m2 (No. 115)
Inequivalent atoms, fractional coordinates:
Nd 0.0000 0.5000 0.2335
Tm 0.0000 0.0000 0.5000
Sn 0.0000 0.5000 0.8731
Sn 0.5000 0.5000 0.5000
Rh 0.0000 0.0000 0.0000
Rh 0.0000 0.5000 0.6446
Rh 0.5000 0.5000 0.0000


Entry 6:
The following is a PBE calculation of a relaxed structure of RbNpMoN4, from Alexandria via LeMat-Bulk.

Summary:
Crystal system: monoclinic
Formation energy from raw total energies (eV/atom): -0.48

Unit cell a=5.9238 b=5.9357 c=7.7532 alpha=90.00 beta=103.68 gamma=90.00
Space group P2_1/m (No. 11)
Inequivalent atoms, fractional coordinates:
Rb 0.1541 0.2500 0.0992
Np 0.1749 0.7500 0.4615
Mo 0.3682 0.2500 0.6616
N 0.1511 0.0128 0.6632
N 0.3112 0.7500 0.2253
N 0.4408 0.2500 0.4459


Entry 7:
The following is a PBE calculation of a relaxed structure of Na3Cd4Au, from Alexandria via LeMat-Bulk.

Summary:
Crystal system: orthorhombic
ΔH_f (0 K) (meV per atom): -89

Unit cell a=6.1816 b=8.4368 c=8.0979 alpha=90.00 beta=90.00 gamma=90.00
Space group Imm2 (No. 44)
Inequivalent atoms, fractional coordinates:
Na 0.0000 0.0000 0.0000
Na 0.0000 0.3168 0.2601
Cd 0.0000 0.1775 0.6459
Cd 0.2367 0.5000 0.8908
Au 0.0000 0.5000 0.5865


Entry 8:
The following is a PBE calculation of a relaxed structure of LaMg2AlCd4, from Alexandria via LeMat-Bulk.

Summary:
Crystal system: trigonal
ΔH_f (0 K) (meV per atom): -138

Unit cell a=4.9168 b=4.9168 c=27.2907 alpha=90.00 beta=90.00 gamma=120.00
Space group R-3m (No. 166, hexagonal axes)
Inequivalent atoms, fractional coordinates:
La 0.0000 0.0000 0.0000
Mg 0.0000 0.0000 0.2461
Al 0.0000 0.0000 0.5000
Cd 0.0000 0.0000 0.1286
Cd 0.0000 0.0000 0.3940